1.
Ce4Ga2Sn | PBE-GGA | relaxed

Results
space-group type = R-3m, No. 166
E = -5.098 eV per atom
E_form = -0.271 eV per atom

POSCAR file:
```
Ce4Ga2Sn
1.0
-0.278 -3.613 -2.669
-1.365 -3.943 1.686
-11.217 0.121 -2.791
Ce Ga Sn
4 2 1
Direct
0.387 0.387 0.839 Ce
0.187 0.187 0.440 Ce
0.813 0.813 0.560 Ce
0.613 0.613 0.161 Ce
0.098 0.098 0.706 Ga
0.902 0.902 0.294 Ga
0.000 0.000 0.000 Sn
```

---

2.
Ce6GaSn2 | PBE-GGA | relaxed

Results
space-group type = C2/m, No. 12
E = -5.349 eV per atom
E_form = -0.167 eV per atom

POSCAR file:
```
Ce6GaSn2
1.0
5.164 0.000 -0.168
0.000 6.825 0.000
-2.282 -3.413 8.210
Ce Ga Sn
6 1 2
Direct
0.164 0.372 0.333 Ce
0.836 0.040 0.667 Ce
0.836 0.628 0.667 Ce
0.500 0.205 0.000 Ce
0.164 0.960 0.333 Ce
0.500 0.795 0.000 Ce
0.000 0.000 0.000 Ga
0.652 0.655 0.310 Sn
0.348 0.345 0.690 Sn
```

---

3.
CeThGaSn | PBE-GGA | relaxed

Results
space-group type = F-43m, No. 216
E = -5.489 eV per atom
E_form = -0.394 eV per atom

POSCAR file:
```
CeThGaSn
1.0
-4.720 2.291 -1.059
-4.473 -1.945 2.203
-2.538 2.782 3.804
Ga Ce Th Sn
1 1 1 1
Direct
0.250 0.250 0.250 Ga
0.500 0.500 0.500 Ce
0.000 0.000 0.000 Th
0.750 0.750 0.750 Sn
```